## Sb2OsSe (GGA-PBE)

Data for crystalline Sb2OsSe at its relaxed geometry.

- raw formation energy (meV per atom) = 802
- M_tot (Bohr magnetons per cell) = 0.0

Unit cell a=3.297 b=4.902 c=5.076 alpha=90.00 beta=90.00 gamma=90.00
Space group Pmmm (No. 47)
One atom of each set of equivalent atoms:
Sb 0.000 0.000 0.000
Sb 0.500 0.000 0.500
Os 0.000 0.500 0.500
Se 0.500 0.500 0.000